First-principles (PBE-GGA) data for a relaxed Ba3Mg2Zn2In4 crystal, as listed in the Alexandria database.

Properties
* energy of formation: -18.5 kJ/mol of atoms

abc: 4.7970 4.7970 18.5941
angles: 90.00 90.00 120.00
Space group P-3m1 (No. 164)
Symmetry-distinct sites (fractional):
1 Ba 0.0000 0.0000 0.0000 (multiplicity 1)
2 Ba 0.0000 0.0000 0.2633 (multiplicity 2)
3 Mg 0.3333 0.6667 0.5506 (multiplicity 2)
4 Zn 0.3333 0.6667 0.1346 (multiplicity 2)
5 In 0.3333 0.6667 0.3894 (multiplicity 2)
6 In 0.3333 0.6667 0.8676 (multiplicity 2)

=====

First-principles (PBE-GGA) data for a relaxed CaAgPbCl6 crystal, as listed in the Alexandria database.

Properties
* ΔE_f (raw): -1.25 eV/atom

abc: 6.4598 6.4598 12.4980
angles: 90.00 90.00 90.00
Space group P4_2nm (No. 102)
Symmetry-distinct sites (fractional):
1 Ca 0.0000 0.0000 0.0000 (multiplicity 2)
2 Ag 0.0000 0.0000 0.3336 (multiplicity 2)
3 Pb 0.0000 0.0000 0.6669 (multiplicity 2)
4 Cl 0.1921 0.1921 0.1740 (multiplicity 4)
5 Cl 0.1982 0.1982 0.4936 (multiplicity 4)
6 Cl 0.2029 0.2029 0.8348 (multiplicity 4)

=====

First-principles (PBE-GGA) data for a relaxed LiP3 crystal, as listed in the Alexandria database.

Properties
* energy above the most stable polymorph in this dataset: 301 meV/atom
* energy of formation: 26.5 kJ/mol of atoms

abc: 3.3805 3.8979 8.4604
angles: 90.00 90.00 90.00
Space group Cmmm (No. 65)
Symmetry-distinct sites (fractional):
1 Li 0.0000 0.0000 0.0000 (multiplicity 2)
2 P 0.0000 0.0000 0.5000 (multiplicity 2)
3 P 0.0000 0.5000 0.2289 (multiplicity 4)

=====

First-principles (PBE-GGA) data for a relaxed Co4Ni15Mo crystal, as listed in the Alexandria database.

Properties
* energy of formation: 1.4 kJ/mol of atoms

abc: 3.5553 3.5553 17.6068
angles: 90.00 90.00 90.00
Space group P4/mmm (No. 123)
Symmetry-distinct sites (fractional):
1 Co 0.0000 0.0000 0.0982 (multiplicity 2)
2 Co 0.0000 0.0000 0.2935 (multiplicity 2)
3 Ni 0.0000 0.5000 0.0000 (multiplicity 2)
4 Ni 0.0000 0.5000 0.1971 (multiplicity 4)
5 Ni 0.0000 0.5000 0.3964 (multiplicity 4)
6 Ni 0.5000 0.5000 0.0985 (multiplicity 2)
7 Ni 0.5000 0.5000 0.2962 (multiplicity 2)
8 Ni 0.5000 0.5000 0.5000 (multiplicity 1)
9 Mo 0.0000 0.0000 0.5000 (multiplicity 1)

=====

These records have E_tot values of -2.234; -3.432; -4.262; -6.285 eV/atom, in the order they appear.
These records have D(E_F) values of 11.72; 10.25; 1.61; 29.95 states/eV per cell, in the order they appear.